Entry 1
Computed, not measured: crystalline LiLu2Mg at its relaxed geometry at the PBE level of DFT.

Results
crystal system = tetragonal
total moment = 0.00 μB per formula unit

```
LiLu2Mg
1.0
3.678 0.000 0.000
0.000 3.678 0.000
0.000 0.000 7.429
Li Lu Mg
1 2 1
Cartesian
0.000 0.000 0.000
1.839 1.839 1.826
1.839 1.839 5.603
0.000 0.000 3.715
```

---

Entry 2
Computed, not measured: crystalline LiLu2Mg at its relaxed geometry at the PBE level of DFT.

Results
crystal system = cubic
total moment = 0.06 μB per formula unit

```
LiLu2Mg
1.0
7.407 0.000 0.000
0.000 7.407 0.000
0.000 0.000 7.407
Li Lu Mg
4 8 4
Cartesian
0.000 0.000 0.000
0.000 3.703 3.703
3.703 0.000 3.703
3.703 3.703 0.000
1.852 1.852 1.852
1.852 1.852 5.555
1.852 5.555 1.852
1.852 5.555 5.555
5.555 1.852 1.852
5.555 1.852 5.555
5.555 5.555 1.852
5.555 5.555 5.555
0.000 0.000 3.703
0.000 3.703 0.000
3.703 0.000 0.000
3.703 3.703 3.703
```

---

Entry 3
Computed, not measured: crystalline LiLu2Mg at its relaxed geometry at the PBE level of DFT.

Results
crystal system = trigonal
total moment = 0.00 μB per formula unit

```
LiLu2Mg
1.0
3.327 0.000 0.000
-1.664 2.881 0.000
0.000 0.000 34.818
Li Lu Mg
3 6 3
Cartesian
0.000 0.000 0.000
0.000 1.921 23.212
1.664 0.960 11.606
0.000 0.000 3.144
0.000 0.000 31.674
0.000 1.921 20.068
0.000 1.921 26.356
1.664 0.960 8.462
1.664 0.960 14.750
0.000 0.000 17.409
0.000 1.921 5.803
1.664 0.960 29.015
```

---

The most stable arrangement is entry 1, and the next structure is 14 meV/atom less stable.